Si2MoW | GGA-PBE | relaxed

Output
**Uncorrected formation energy**: 0.0641 eV per atom
**Magnetization**: 0.0 μB per formula unit
**Energy above the lowest structure with this stoichiometry**: 398 meV/atom
**V**: 14.59 Å³/atom

Cell lengths 3.208, 4.627, 3.930 Å; angles 90.00, 90.00, 90.00 degrees
Sites, in units of the cell vectors:
1 Si 0.000 0.000 0.000
2 Si 0.500 0.500 0.000
3 W 0.500 0.000 0.500
4 Mo 0.000 0.500 0.500